# 1
# CuPt2W

An optimized crystal structure of CuPt2W (GGA-PBE, the Alexandria database).

Cell lengths 2.7744, 2.7744, 27.0208 Å; angles 90.00, 90.00, 120.00 degrees
Space group R3m (No. 160, hexagonal axes)
Asymmetric unit:
Cu  0.0000  0.0000  0.0000 x3
Pt  0.0000  0.0000  0.5029 x3
Pt  0.0000  0.0000  0.7461 x3
W  0.0000  0.0000  0.2517 x3

## Properties
- Relative energy among the computed polymorphs: 0.190 eV per atom
- Calculated formation energy: -0.078 eV per atom


# 2
# Ba3Sr6Li2

An optimized crystal structure of Ba3Sr6Li2 (GGA-PBE, the Alexandria database).

Cell lengths 5.769, 5.769, 35.491 Å; angles 90.00, 90.00, 90.00 degrees
Space group I4/mmm (No. 139)
Asymmetric unit:
Ba  0.000  0.000  0.000 x2
Ba  0.000  0.000  0.200 x4
Sr  0.000  0.000  0.317 x4
Sr  0.000  0.500  0.100 x8
Li  0.000  0.000  0.461 x4

## Properties
- Calculated formation energy: 0.109 eV per atom


# 3
# Sn3AsS

An optimized crystal structure of Sn3AsS (GGA-PBE, the Alexandria database).

Cell lengths 5.441, 5.441, 5.441 Å; angles 90.00, 90.00, 90.00 degrees
Space group Pm-3m (No. 221)
Asymmetric unit:
Sn  0.000  0.000  0.500 x3
As  0.000  0.000  0.000 x1
S  0.500  0.500  0.500 x1

## Properties
- Formation energy without anion corrections: 586 meV per atom
- Relative energy among the computed polymorphs: 0.217 eV per atom


# 4
# LaNdCl3

An optimized crystal structure of LaNdCl3 (GGA-PBE, the Alexandria database).

Cell lengths 6.754, 13.030, 6.757 Å; angles 90.00, 113.61, 90.00 degrees
Space group C2/m (No. 12)
Asymmetric unit:
La  0.000  0.174  0.000 x4
Nd  0.000  0.323  0.500 x4
Cl  0.246  0.500  0.742 x4
Cl  0.250  0.149  0.746 x8

## Properties
- Formation energy without anion corrections: -1816 meV per atom


Result set for total magnetic moment: 0.0; 0.0; 0.0; 0.0 μB/f.u., one per record in the order listed.